Here is a geometry-optimized Co6O7F5 structure from Alexandria. Energies are from PBE with a Hubbard U.

```
Co6O7F5
1.0
-3.985 0.751 1.849
-2.218 -1.313 -3.636
-0.155 -8.436 3.125
Co O F
6 7 5
Direct
0.998 0.994 0.677
0.480 0.471 0.170
0.529 0.520 0.830
0.006 0.002 0.323
0.976 0.024 0.000
0.501 0.499 0.500
0.689 0.311 0.000
0.819 0.816 0.839
0.294 0.678 0.332
0.683 0.289 0.331
0.322 0.706 0.668
0.711 0.317 0.669
0.184 0.181 0.161
0.809 0.805 0.492
0.776 0.770 0.164
0.195 0.191 0.508
0.298 0.702 0.000
0.230 0.224 0.836
```

The value obtained for the density of states at the Fermi level is 0.20 states/eV per atom. For the calculated volume, the calculation gives 178 Å³ per cell. Its crystal system is monoclinic. The distance to the lowest polymorph of the same formula comes out at 45 meV/atom. Its space group is No. 5.